SrHgNO | PBE | optimized geometry

## Properties
symmetry = P4/nmm

a b c (Å): 4.548 4.548 7.650
angles (deg): 90.00 90.00 90.00
Positions (direct):
Sr1 0.250 0.250 0.110
Sr2 0.750 0.750 0.890
Hg1 0.250 0.750 0.500
Hg2 0.750 0.250 0.500
N1 0.250 0.250 0.467
N2 0.750 0.750 0.533
O1 0.250 0.750 0.000
O2 0.750 0.250 0.000



HoGaMo | PBE | optimized geometry

## Properties
symmetry = F-43m
size of the total moment = 3.04 μB/f.u.

a b c (Å): 4.743 4.743 4.743
angles (deg): 60.00 60.00 60.00
Positions (direct):
Ho1 0.000 0.000 0.000
Ga1 0.750 0.750 0.750
Mo1 0.250 0.250 0.250



| no. | total DFT energy (no corrections) (eV per atom) |
| --- | --- |
| 1 | -4.26 |
| 2 | -5.10 |